# 1
Compound: CaLaTa3
Source: Alexandria
Functional: GGA-PBE
Structure: relaxed

## Properties
Offset from the most stable computed form   0.2712 eV per atom
Formation energy   2.1009 eV per atom
Calculated total energy   -6.396 eV per atom

Cell lengths 4.984, 4.984, 4.984 Å; angles 90.00, 90.00, 90.00 degrees
Sites, in units of the cell vectors:
Ca 0.000 0.000 0.000
La 0.500 0.500 0.500
Ta 0.000 0.000 0.500
Ta 0.000 0.500 0.000
Ta 0.500 0.000 0.000

# 2
Compound: LaVMo2
Source: Alexandria
Functional: GGA-PBE
Structure: relaxed

## Properties
Offset from the most stable computed form   0.0200 eV per atom
Formation energy   0.3514 eV per atom
Calculated total energy   -8.576 eV per atom

Cell lengths 4.508, 5.909, 7.118 Å; angles 98.28, 102.76, 111.06 degrees
Sites, in units of the cell vectors:
La 0.000 0.000 0.000
La 0.097 0.862 0.535
V 0.334 0.492 0.774
V 0.749 0.440 0.127
Mo 0.352 0.437 0.408
Mo 0.365 0.667 0.135
Mo 0.733 0.201 0.391
Mo 0.767 0.357 0.767

# 3
Compound: Pm4Dy5Tm3
Source: Alexandria
Functional: GGA-PBE
Structure: relaxed

## Properties
Formation energy   0.2316 eV per atom
Calculated total energy   -4.387 eV per atom

Cell lengths 8.568, 8.568, 9.333 Å; angles 114.96, 114.96, 40.25 degrees
Sites, in units of the cell vectors:
Pm 0.083 0.083 0.445
Pm 0.216 0.216 0.881
Pm 0.784 0.784 0.119
Pm 0.917 0.917 0.555
Dy 0.000 0.000 0.000
Dy 0.328 0.328 0.616
Dy 0.429 0.429 0.297
Dy 0.571 0.571 0.703
Dy 0.672 0.672 0.384
Tm 0.212 0.212 0.235
Tm 0.500 0.500 0.000
Tm 0.788 0.788 0.765

# 4
Compound: SmMg4Rh2
Source: Alexandria
Functional: GGA-PBE
Structure: relaxed

## Properties
Formation energy   -0.4115 eV per atom
Calculated total energy   -4.097 eV per atom

Cell lengths 8.084, 8.084, 4.308 Å; angles 90.00, 90.00, 90.00 degrees
Sites, in units of the cell vectors:
Sm 0.000 0.000 0.000
Sm 0.500 0.500 0.500
Mg 0.090 0.337 0.500
Mg 0.163 0.590 0.000
Mg 0.337 0.090 0.500
Mg 0.410 0.837 0.000
Mg 0.590 0.163 0.000
Mg 0.663 0.910 0.500
Mg 0.837 0.410 0.000
Mg 0.910 0.663 0.500
Rh 0.221 0.779 0.500
Rh 0.279 0.279 0.000
Rh 0.721 0.721 0.000
Rh 0.779 0.221 0.500

# 5
Compound: Tb2Nd3Rh2
Source: Alexandria
Functional: GGA-PBE
Structure: relaxed

## Properties
Formation energy   -0.4886 eV per atom
Calculated total energy   -5.955 eV per atom

Cell lengths 6.451, 6.451, 9.049 Å; angles 114.21, 114.21, 35.21 degrees
Sites, in units of the cell vectors:
Tb 0.171 0.171 0.312
Tb 0.829 0.829 0.688
Nd 0.387 0.387 0.073
Nd 0.500 0.500 0.500
Nd 0.613 0.613 0.927
Rh 0.185 0.185 0.742
Rh 0.815 0.815 0.258

# 6
Compound: Zr5Co3
Source: Alexandria
Functional: GGA-PBE
Structure: relaxed

## Properties
Offset from the most stable computed form   0.1543 eV per atom
Formation energy   -0.0715 eV per atom
Calculated total energy   -8.079 eV per atom

Cell lengths 5.615, 5.615, 4.679 Å; angles 90.00, 90.00, 107.25 degrees
Sites, in units of the cell vectors:
Zr 0.000 0.000 0.000
Zr 0.000 0.500 0.000
Zr 0.268 0.268 0.500
Zr 0.500 0.000 0.000
Zr 0.732 0.732 0.500
Co 0.240 0.760 0.500
Co 0.500 0.500 0.000
Co 0.760 0.240 0.500

# 7
Compound: LaEr3Se4
Source: Alexandria
Functional: GGA-PBE
Structure: relaxed

## Properties
Calculated total energy   -5.829 eV per atom
Formation energy without anion corrections   -14.1 eV/f.u.

Cell lengths 7.156, 7.156, 4.044 Å; angles 90.00, 90.00, 108.64 degrees
Sites, in units of the cell vectors:
La 0.000 0.000 0.000
Er 0.000 0.500 0.500
Er 0.500 0.000 0.500
Er 0.500 0.500 0.000
Se 0.257 0.743 0.000
Se 0.265 0.265 0.500
Se 0.735 0.735 0.500
Se 0.743 0.257 0.000

# 8
Compound: SrInFe2
Source: Alexandria
Functional: GGA-PBE
Structure: relaxed

## Properties
Formation energy   0.2278 eV per atom
Calculated total energy   -5.109 eV per atom

Cell lengths 3.283, 3.283, 7.638 Å; angles 90.00, 90.00, 90.00 degrees
Sites, in units of the cell vectors:
Sr 0.000 0.000 0.000
In 0.500 0.500 0.657
Fe 0.000 0.000 0.423
Fe 0.500 0.500 0.301

# 9
Compound: LiBi2O4
Source: Alexandria
Functional: GGA-PBE
Structure: relaxed

## Properties
Offset from the most stable computed form   0.0000 eV per atom
Calculated total energy   -5.479 eV per atom
Formation energy without anion corrections   -8.8 eV/f.u.

Cell lengths 5.495, 6.145, 11.579 Å; angles 90.00, 90.00, 90.00 degrees
Sites, in units of the cell vectors:
Li 0.000 0.000 0.000
Li 0.000 0.500 0.500
Li 0.500 0.000 0.500
Li 0.500 0.500 0.000
Bi 0.007 0.100 0.360
Bi 0.007 0.400 0.860
Bi 0.493 0.600 0.360
Bi 0.493 0.900 0.860
Bi 0.507 0.100 0.140
Bi 0.507 0.400 0.640
Bi 0.993 0.600 0.140
Bi 0.993 0.900 0.640
O 0.153 0.553 0.685
O 0.153 0.947 0.185
O 0.176 0.675 0.963
O 0.176 0.825 0.463
O 0.324 0.175 0.963
O 0.324 0.325 0.463
O 0.347 0.053 0.685
O 0.347 0.447 0.185
O 0.653 0.553 0.815
O 0.653 0.947 0.315
O 0.676 0.675 0.537
O 0.676 0.825 0.037
O 0.824 0.175 0.537
O 0.824 0.325 0.037
O 0.847 0.053 0.815
O 0.847 0.447 0.315

# 10
Compound: CsNiCl2
Source: Alexandria
Functional: GGA-PBE
Structure: relaxed

## Properties
Offset from the most stable computed form   0.0000 eV per atom
Calculated total energy   -3.573 eV per atom
Formation energy without anion corrections   -4.0 eV/f.u.

Cell lengths 6.620, 6.620, 6.620 Å; angles 110.47, 110.47, 107.50 degrees
Sites, in units of the cell vectors:
Cs 0.000 0.000 0.000
Cs 0.750 0.250 0.500
Ni 0.250 0.750 0.500
Ni 0.500 0.500 0.000
Cl 0.254 0.625 0.129
Cl 0.375 0.504 0.629
Cl 0.496 0.125 0.871
Cl 0.875 0.746 0.371

# 11
Compound: SrGdCdGe
Source: Alexandria
Functional: GGA-PBE
Structure: relaxed

## Properties
Formation energy   -0.4013 eV per atom
Calculated total energy   -5.725 eV per atom

Cell lengths 5.377, 5.377, 5.377 Å; angles 60.00, 60.00, 60.00 degrees
Sites, in units of the cell vectors:
Sr 0.000 0.000 0.000
Gd 0.500 0.500 0.500
Cd 0.250 0.250 0.250
Ge 0.750 0.750 0.750

# 12
Compound: LiNdAl2Pd4
Source: Alexandria
Functional: GGA-PBE
Structure: relaxed

## Properties
Formation energy   -0.8134 eV per atom
Calculated total energy   -5.181 eV per atom

Cell lengths 8.900, 8.900, 8.900 Å; angles 27.96, 27.96, 27.96 degrees
Sites, in units of the cell vectors:
Li 0.000 0.000 0.000
Nd 0.500 0.500 0.500
Al 0.266 0.266 0.266
Al 0.734 0.734 0.734
Pd 0.096 0.096 0.096
Pd 0.369 0.369 0.369
Pd 0.631 0.631 0.631
Pd 0.904 0.904 0.904

# 13
Compound: SmMnPd6
Source: Alexandria
Functional: GGA-PBE
Structure: relaxed

## Properties
Offset from the most stable computed form   0.4992 eV per atom
Formation energy   0.0128 eV per atom
Calculated total energy   -5.618 eV per atom

Cell lengths 5.401, 5.401, 5.401 Å; angles 87.80, 87.80, 87.80 degrees
Sites, in units of the cell vectors:
Sm 0.000 0.000 0.000
Mn 0.500 0.500 0.500
Pd 0.171 0.171 0.537
Pd 0.171 0.537 0.171
Pd 0.463 0.829 0.829
Pd 0.537 0.171 0.171
Pd 0.829 0.463 0.829
Pd 0.829 0.829 0.463

# 14
Compound: BeAs4Pt
Source: Alexandria
Functional: GGA-PBE
Structure: relaxed

## Properties
Formation energy   0.8111 eV per atom
Calculated total energy   -3.916 eV per atom

Cell lengths 5.404, 5.404, 5.404 Å; angles 60.00, 60.00, 60.00 degrees
Sites, in units of the cell vectors:
Be 0.000 0.000 0.000
As 0.374 0.374 0.374
As 0.374 0.374 0.879
As 0.374 0.879 0.374
As 0.879 0.374 0.374
Pt 0.750 0.750 0.750

# 15
Compound: Tl5InTe4
Source: Alexandria
Functional: GGA-PBE
Structure: relaxed

## Properties
Offset from the most stable computed form   0.0000 eV per atom
Calculated total energy   -3.005 eV per atom
Formation energy without anion corrections   -2.9 eV/f.u.

Cell lengths 9.248, 11.348, 7.737 Å; angles 90.00, 90.00, 90.00 degrees
Sites, in units of the cell vectors:
Tl 0.052 0.044 0.225
Tl 0.052 0.456 0.225
Tl 0.250 0.250 0.545
Tl 0.448 0.044 0.225
Tl 0.448 0.456 0.225
Tl 0.552 0.544 0.775
Tl 0.552 0.956 0.775
Tl 0.750 0.750 0.455
Tl 0.948 0.544 0.775
Tl 0.948 0.956 0.775
In 0.250 0.750 0.352
In 0.750 0.250 0.648
Te 0.006 0.250 0.847
Te 0.250 0.551 0.574
Te 0.250 0.949 0.574
Te 0.494 0.250 0.847
Te 0.506 0.750 0.153
Te 0.750 0.051 0.426
Te 0.750 0.449 0.426
Te 0.994 0.750 0.153

# 16
Compound: Be9NbCr2
Source: Alexandria
Functional: GGA-PBE
Structure: relaxed

## Properties
Formation energy   -0.2091 eV per atom
Calculated total energy   -5.447 eV per atom

Cell lengths 7.246, 7.246, 7.246 Å; angles 34.64, 34.64, 34.64 degrees
Sites, in units of the cell vectors:
Be 0.000 0.000 0.000
Be 0.087 0.087 0.580
Be 0.087 0.580 0.087
Be 0.166 0.166 0.166
Be 0.420 0.913 0.913
Be 0.580 0.087 0.087
Be 0.834 0.834 0.834
Be 0.913 0.420 0.913
Be 0.913 0.913 0.420
Nb 0.500 0.500 0.500
Cr 0.354 0.354 0.354
Cr 0.646 0.646 0.646

# 17
Compound: CdBiOF2
Source: Alexandria
Functional: GGA-PBE
Structure: relaxed

## Properties
Offset from the most stable computed form   0.1990 eV per atom
Calculated total energy   -3.826 eV per atom
Formation energy without anion corrections   -5.6 eV/f.u.

Cell lengths 4.344, 4.344, 4.443 Å; angles 90.00, 90.00, 90.00 degrees
Sites, in units of the cell vectors:
Cd 0.000 0.000 0.000
Bi 0.500 0.500 0.500
O 0.000 0.000 0.500
F 0.000 0.500 0.000
F 0.500 0.000 0.000

# 18
Compound: Ho6Tm8Zr
Source: Alexandria
Functional: GGA-PBE
Structure: relaxed

## Properties
Offset from the most stable computed form   0.0588 eV per atom
Formation energy   0.2126 eV per atom
Calculated total energy   -4.573 eV per atom

Cell lengths 7.984, 7.984, 7.984 Å; angles 73.24, 73.24, 73.24 degrees
Sites, in units of the cell vectors:
Ho 0.068 0.283 0.618
Ho 0.283 0.618 0.068
Ho 0.382 0.932 0.717
Ho 0.618 0.068 0.283
Ho 0.717 0.382 0.932
Ho 0.932 0.717 0.382
Tm 0.072 0.656 0.768
Tm 0.232 0.928 0.344
Tm 0.344 0.232 0.928
Tm 0.413 0.413 0.413
Tm 0.587 0.587 0.587
Tm 0.656 0.768 0.072
Tm 0.768 0.072 0.656
Tm 0.928 0.344 0.232
Zr 0.000 0.000 0.000

# 19
Compound: LiHgI3
Source: Alexandria
Functional: GGA-PBE
Structure: relaxed

## Properties
Offset from the most stable computed form   0.0000 eV per atom
Calculated total energy   -2.016 eV per atom
Formation energy without anion corrections   -3.2 eV/f.u.

Cell lengths 11.914, 11.914, 7.360 Å; angles 90.00, 90.00, 158.42 degrees
Sites, in units of the cell vectors:
Li 0.176 0.824 0.500
Li 0.824 0.176 0.000
Hg 0.377 0.623 0.552
Hg 0.623 0.377 0.052
I 0.065 0.935 0.226
I 0.273 0.727 0.756
I 0.387 0.613 0.178
I 0.613 0.387 0.678
I 0.727 0.273 0.256
I 0.935 0.065 0.726

# 20
Compound: Na3I
Source: Alexandria
Functional: GGA-PBE
Structure: relaxed

## Properties
Offset from the most stable computed form   0.0077 eV per atom
Calculated total energy   -1.849 eV per atom
Formation energy without anion corrections   -1.9 eV/f.u.

Cell lengths 5.159, 5.159, 5.159 Å; angles 90.00, 90.00, 90.00 degrees
Sites, in units of the cell vectors:
Na 0.000 0.000 0.500
Na 0.000 0.500 0.000
Na 0.500 0.000 0.000
I 0.500 0.500 0.500

# 21
Compound: LiSmLuIn
Source: Alexandria
Functional: GGA-PBE
Structure: relaxed

## Properties
Formation energy   -0.2515 eV per atom
Calculated total energy   -3.725 eV per atom

Cell lengths 5.275, 5.275, 5.275 Å; angles 60.00, 60.00, 60.00 degrees
Sites, in units of the cell vectors:
Li 0.000 0.000 0.000
Sm 0.750 0.750 0.750
Lu 0.250 0.250 0.250
In 0.500 0.500 0.500

# 22
Compound: TbPmY4
Source: Alexandria
Functional: GGA-PBE
Structure: relaxed

## Properties
Offset from the most stable computed form   0.0000 eV per atom
Formation energy   0.0683 eV per atom
Calculated total energy   -5.805 eV per atom

Cell lengths 5.691, 5.691, 6.939 Å; angles 90.03, 90.03, 120.06 degrees
Sites, in units of the cell vectors:
Tb 0.000 0.000 0.000
Pm 0.000 0.000 0.500
Y 0.333 0.666 0.248
Y 0.334 0.667 0.752
Y 0.666 0.333 0.248
Y 0.667 0.334 0.752